Computed, not measured: crystalline TcAg2IN at its relaxed geometry at the PBE-GGA level of DFT.

The structure in CIF format:
```
data_TcAg2IN
_cell_length_a 5.442
_cell_length_b 3.762
_cell_length_c 5.442
_cell_angle_alpha 90.00
_cell_angle_beta 90.00
_cell_angle_gamma 90.00
_symmetry_space_group_name_H-M 'P 1'
_symmetry_Int_Tables_number 1
loop_
_symmetry_equiv_pos_as_xyz
'x,y,z'
loop_
_atom_site_label
_atom_site_fract_x
_atom_site_fract_y
_atom_site_fract_z
_atom_site_occupancy
I1 0.500 0.500 0.500 1
Tc1 0.000 0.000 0.000 1
Ag1 0.000 0.000 0.500 1
Ag2 0.500 0.000 0.000 1
N1 0.000 0.500 0.000 1
```

Values from the calculation:
Electronic total energy ... -4.46 eV per atom
SG ... P4/mmm

Computed, not measured: crystalline Pm4Dy2Y2Er at its relaxed geometry at the PBE-GGA level of DFT.

The structure in CIF format:
```
data_Pm4Dy2Y2Er
_cell_length_a 5.082
_cell_length_b 8.036
_cell_length_c 8.033
_cell_angle_alpha 107.49
_cell_angle_beta 90.00
_cell_angle_gamma 108.43
_symmetry_space_group_name_H-M 'P 1'
_symmetry_Int_Tables_number 1
loop_
_symmetry_equiv_pos_as_xyz
'x,y,z'
loop_
_atom_site_label
_atom_site_fract_x
_atom_site_fract_y
_atom_site_fract_z
_atom_site_occupancy
Pm1 0.778 0.556 0.668 1
Pm2 0.222 0.444 0.332 1
Pm3 0.555 0.110 0.331 1
Pm4 0.445 0.890 0.669 1
Dy1 0.334 0.667 0.000 1
Dy2 0.666 0.333 0.000 1
Y1 0.888 0.777 0.330 1
Y2 0.112 0.223 0.670 1
Er1 0.000 0.000 0.000 1
```

Values from the calculation:
Formation energy from the elements ... 19 meV/atom
SG ... C2/m

| no. | magnetic moment (μB per atom) |
| --- | --- |
| 1 | 0.328 |
| 2 | 0.000 |